This record from Alexandria via LeMat-Bulk describes crystalline CeZnGe2Ir5 at its relaxed geometry. The functional is PBE.

Summary:
Energy: -62.58 eV for the cell shown
Crystal system: tetragonal
ρ: 14.0 g/cm³
Energy of formation from the pure elements: -0.204 eV per atom
Space-group type: P4/mmm, No. 123

Lattice parameters (Å, degrees): 4.1333 4.1333 9.1026 90.00 90.00 90.00
With the nearest neighbours (Å) after each atom.
Element x y z (fractional)
Ce (0.0000, 0.0000, 0.5000)  12 Ir 2.91-2.92
Zn (0.0000, 0.0000, 0.0000)  8 Ge 3.16, 8 Ir 3.24
Ge (0.5000, 0.5000, 0.8694)  1 Ge 2.38, 4 Ir 2.45
Ge (0.5000, 0.5000, 0.1306)  1 Ge 2.38, 4 Ir 2.45
Ir (0.0000, 0.5000, 0.2747)  2 Ge 2.45
Ir (0.5000, 0.0000, 0.2747)  2 Ge 2.45
Ir (0.0000, 0.5000, 0.7253)  2 Ge 2.45
Ir (0.5000, 0.0000, 0.7253)  2 Ge 2.45
Ir (0.5000, 0.5000, 0.5000)  8 Ir 2.91, 4 Ce 2.92



This record from Alexandria via LeMat-Bulk describes crystalline Y2P2Pt at its relaxed geometry. The functional is PBE.

Summary:
Energy: -71.00 eV for the cell shown
Crystal system: tetragonal
ρ: 7.5 g/cm³
Energy of formation from the pure elements: -1.142 eV per atom
Space-group type: P4/mbm, No. 127

Lattice parameters (Å, degrees): 6.9824 6.9824 3.9633 90.00 90.00 90.00
With the nearest neighbours (Å) after each atom.
Element x y z (fractional)
Y (0.1625, 0.6625, 0.5000)  6 P 2.72-2.94
Y (0.6625, 0.8375, 0.5000)  6 P 2.72-2.94
Y (0.8375, 0.3375, 0.5000)  6 P 2.72-2.94
Y (0.3375, 0.1625, 0.5000)  6 P 2.72-2.94
P (0.3508, 0.8508, 0.0000)  2 Pt 2.66, 6 Y 2.72-2.94, 1 P 2.95
P (0.8508, 0.6492, 0.0000)  2 Pt 2.66, 6 Y 2.72-2.94, 1 P 2.95
P (0.6492, 0.1492, 0.0000)  2 Pt 2.66, 6 Y 2.72-2.94, 1 P 2.95
P (0.1492, 0.3508, 0.0000)  2 Pt 2.66, 6 Y 2.72-2.94, 1 P 2.95
Pt (0.0000, 0.0000, 0.0000)  4 P 2.66
Pt (0.5000, 0.5000, 0.0000)  4 P 2.66



This record from Alexandria via LeMat-Bulk describes crystalline Y2ReAu at its relaxed geometry. The functional is PBE.

Summary:
Energy: -28.45 eV for the cell shown
Crystal system: monoclinic
ρ: 10.1 g/cm³
Energy of formation from the pure elements: 0.051 eV per atom
Space-group type: C2/m, No. 12

Lattice parameters (Å, degrees): 3.5044 3.5044 8.9743 79.00 79.00 59.52
With the nearest neighbours (Å) after each atom.
Element x y z (fractional)
Au (0.7500, 0.7500, 0.7500)  6 Y 3.08
Re (0.2500, 0.2500, 0.2500)  6 Y 2.88
Y (0.9951, 0.9951, 0.0155)  3 Re 2.88, 3 Au 3.08
Y (0.5049, 0.5049, 0.4845)  3 Re 2.88, 3 Au 3.08



This record from Alexandria via LeMat-Bulk describes crystalline BaSi2Pd at its relaxed geometry. The functional is PBE.

Summary:
Energy: -39.39 eV for the cell shown
Crystal system: tetragonal
Formation energy without anion corrections: -0.43 eV per atom
ρ: 4.8 g/cm³
Space-group type: I4_1/amd, No. 141

Lattice parameters (Å, degrees): 5.0025 5.0025 8.9946 73.85 73.85 90.00
With the nearest neighbours (Å) after each atom.
Element x y z (fractional)
Si (0.3751, 0.1250, 0.2500)  2 Pd 2.42, 2 Si 2.50
Si (0.3749, 0.6250, 0.2500)  2 Pd 2.42, 2 Si 2.50
Si (0.3750, 0.6249, 0.7500)  2 Pd 2.42, 2 Si 2.50
Si (0.8750, 0.6251, 0.7500)  2 Pd 2.42, 2 Si 2.50
Ba (0.0000, 0.0000, 0.0000)  8 Si 3.48, 4 Pd 3.54
Ba (0.7500, 0.2500, 0.5000)  8 Si 3.48, 4 Pd 3.54
Pd (0.5000, 0.5000, 0.0000)  4 Si 2.42
Pd (0.2500, 0.7500, 0.5000)  4 Si 2.42



This record from Alexandria via LeMat-Bulk describes crystalline Li6AgPb2 at its relaxed geometry. The functional is PBE.

Summary:
Energy: -48.40 eV for the cell shown
Crystal system: orthorhombic
ρ: 5.6 g/cm³
Energy of formation from the pure elements: -0.272 eV per atom
Space-group type: Pnnm, No. 58

Lattice parameters (Å, degrees): 4.6931 8.3235 8.5662 90.00 89.99 90.00
With the nearest neighbours (Å) after each atom.
Element x y z (fractional)
Li (0.0000, 0.9996, 0.1791)  1 Ag 2.75, 3 Pb 2.82-2.83, 4 Li 2.90-3.07
Li (0.0000, 0.6727, 0.5730)  1 Ag 2.80, 5 Li 2.81-3.10, 3 Pb 2.90-3.04
Li (0.0000, 0.6613, 0.9003)  4 Li 2.81-3.10, 2 Ag 2.83-2.84, 4 Pb 2.86-3.10
Li (0.5000, 0.1613, 0.5997)  4 Li 2.81-3.10, 2 Ag 2.83-2.84, 4 Pb 2.86-3.10
Li (0.5000, 0.1727, 0.9270)  1 Ag 2.80, 5 Li 2.81-3.10, 3 Pb 2.90-3.04
Li (0.5000, 0.4996, 0.3209)  1 Ag 2.75, 3 Pb 2.82-2.83, 4 Li 2.90-3.07
Li (0.0000, 0.0004, 0.8209)  1 Ag 2.75, 3 Pb 2.82-2.83, 4 Li 2.90-3.07
Li (0.0000, 0.3273, 0.4270)  1 Ag 2.80, 5 Li 2.81-3.10, 3 Pb 2.90-3.04
Li (0.0000, 0.3387, 0.0997)  4 Li 2.81-3.10, 2 Ag 2.83-2.84, 4 Pb 2.86-3.10
Li (0.5000, 0.8387, 0.4003)  4 Li 2.81-3.10, 2 Ag 2.83-2.84, 4 Pb 2.86-3.10
Li (0.5000, 0.8273, 0.0730)  1 Ag 2.80, 5 Li 2.81-3.10, 3 Pb 2.90-3.04
Li (0.5000, 0.5004, 0.6791)  1 Ag 2.75, 3 Pb 2.82-2.83, 4 Li 2.90-3.07
Ag (0.5000, 0.5000, 0.0000)  8 Li 2.75-2.84
Ag (0.0000, 0.0000, 0.5000)  8 Li 2.75-2.84
Pb (0.0000, 0.3353, 0.7652)  10 Li 2.82-3.10
Pb (0.5000, 0.8353, 0.7348)  10 Li 2.82-3.10
Pb (0.5000, 0.1647, 0.2652)  10 Li 2.82-3.10
Pb (0.0000, 0.6647, 0.2348)  10 Li 2.82-3.10



This record from Alexandria via LeMat-Bulk describes crystalline YNi2Mo at its relaxed geometry. The functional is PBE.

Summary:
Energy: -27.52 eV for the cell shown
Crystal system: cubic
ρ: 8.0 g/cm³
Energy of formation from the pure elements: 0.335 eV per atom
Space-group type: F-43m, No. 216

Lattice parameters (Å, degrees): 4.4563 4.4563 4.4563 60.00 60.00 60.00
With the nearest neighbours (Å) after each atom.
Element x y z (fractional)
Mo (0.5000, 0.5000, 0.5000)  4 Ni 2.73, 4 Y 2.73
Ni (0.0000, 0.0000, 0.0000)  4 Ni 2.73, 4 Y 2.73
Ni (0.2500, 0.2500, 0.2500)  4 Mo 2.73, 4 Ni 2.73
Y (0.7500, 0.7500, 0.7500)  4 Mo 2.73, 4 Ni 2.73



This record from Alexandria via LeMat-Bulk describes crystalline Hf2GeAsF at its relaxed geometry. The functional is PBE.

Summary:
Energy: -32.91 eV for the cell shown
Crystal system: tetragonal
Formation energy without anion corrections: -0.37 eV per atom
ρ: 9.4 g/cm³
Space-group type: P4/mmm, No. 123

Lattice parameters (Å, degrees): 4.3345 4.9004 4.3345 90.00 90.00 90.00
With the nearest neighbours (Å) after each atom.
Element x y z (fractional)
As (0.0000, 0.5000, 0.0000)  2 F 2.45
Hf (0.0000, 0.0000, 0.5000)  2 F 2.17
Hf (0.5000, 0.0000, 0.0000)  2 F 2.17
Ge (0.5000, 0.5000, 0.5000)  4 As 3.06, 8 Hf 3.27
F (0.0000, 0.0000, 0.0000)  4 Hf 2.17



This record from Alexandria via LeMat-Bulk describes crystalline Y2PBr2 at its relaxed geometry. The functional is PBE.

Summary:
Energy: -54.59 eV for the cell shown
Crystal system: tetragonal
Formation energy without anion corrections: -1.12 eV per atom
ρ: 4.7 g/cm³
Space-group type: P4/mbm, No. 127

Lattice parameters (Å, degrees): 7.4912 7.4912 4.6595 90.00 90.00 90.00
With the nearest neighbours (Å) after each atom.
Element x y z (fractional)
Y (0.3215, 0.8215, 0.0000)  2 P 2.75, 2 Br 2.97
Y (0.8215, 0.6785, 0.0000)  2 P 2.75, 2 Br 2.97
Y (0.6785, 0.1785, 0.0000)  2 P 2.75, 2 Br 2.97
Y (0.1785, 0.3215, 0.0000)  2 P 2.75, 2 Br 2.97
P (0.0000, 0.0000, 0.0000)  4 Y 2.75
P (0.5000, 0.5000, 0.0000)  4 Y 2.75
Br (0.1484, 0.6484, 0.5000)  2 Y 2.97, 1 Br 3.14
Br (0.6484, 0.8516, 0.5000)  2 Y 2.97, 1 Br 3.14
Br (0.8516, 0.3516, 0.5000)  2 Y 2.97, 1 Br 3.14
Br (0.3516, 0.1484, 0.5000)  2 Y 2.97, 1 Br 3.14



The records above give, respectively, volume values of 17.28, 19.32, 23.16, 25.87, 18.59, 15.64, 18.41, 26.15 A^3/atom.